[1]
meta-GGA SCAN CaY2Fe, single point on PBEsol structure; energy above the lowest structure with this stoichiometry = 0.2887 eV/atom; E_form = 525 meV/atom
1.0
3.212 -5.323 0.000
3.212 5.323 0.000
-1.380 0.000 3.019
Ca Y Fe
1 2 1
Cartesian
0.000 0.000 0.000
0.916 2.661 1.509
0.916 -2.661 1.509
3.212 0.000 0.000

[2]
meta-GGA SCAN CaZnFe2, single point on PBEsol structure; E_form = 473 meV/atom
1.0
-1.956 1.956 4.010
1.956 -1.956 4.010
1.956 1.956 -4.010
Ca Zn Fe
1 1 2
Cartesian
0.000 0.000 0.000
0.000 0.000 4.010
1.956 0.000 2.005
0.000 1.956 2.005

[3]
meta-GGA SCAN CaZn3Fe, single point on PBEsol structure; E_form = 35 meV/atom
1.0
4.548 0.000 0.000
0.000 4.548 0.000
0.000 0.000 4.548
Ca Zn Fe
1 3 1
Cartesian
0.000 0.000 0.000
0.000 2.274 2.274
2.274 0.000 2.274
2.274 2.274 0.000
2.274 2.274 2.274

[4]
meta-GGA SCAN CaZnFe2, single point on PBEsol structure; E_form = 366 meV/atom
1.0
2.868 0.000 0.000
0.000 3.544 0.000
0.000 0.000 6.279
Ca Zn Fe
1 1 2
Cartesian
0.000 0.000 0.000
0.000 0.000 3.139
1.434 1.772 2.033
1.434 1.772 4.246

[5]
meta-GGA SCAN Ca2ZrFe, single point on PBEsol structure; energy above the lowest structure with this stoichiometry = 0.0558 eV/atom; E_form = 746 meV/atom
1.0
0.000 3.646 3.646
3.646 0.000 3.646
3.646 3.646 0.000
Ca Zr Fe
2 1 1
Cartesian
1.823 1.823 1.823
5.470 5.470 5.470
0.000 0.000 0.000
3.646 3.646 3.646

[6]
meta-GGA SCAN Ca2ZrFe, single point on PBEsol structure; energy above the lowest structure with this stoichiometry = 0.0000 eV/atom; E_form = 690 meV/atom
1.0
3.035 -4.954 0.000
3.035 4.954 0.000
0.000 0.000 3.147
Ca Zr Fe
2 1 1
Cartesian
1.517 2.477 0.000
1.517 -2.477 0.000
0.000 0.000 1.573
3.035 0.000 1.573

Computed total magnetization, in the same sequence as the records: 2.36 4.94 1.39 5.06 0.81 1.40 μB/f.u..